Record 1
{"formula": "Tl5Ni", "functional": "GGA-PBE", "state": "optimized geometry", "magmom_total_mub_per_cell": 0.000, "de_polymorph_mev_per_atom": 10, "e_form_ev_per_atom": 0.160, "cell": [[6.106, -1.702, 0.000], [6.106, 1.702, 0.000], [-3.773, 0.000, 7.874]], "species": ["Tl", "Tl", "Tl", "Tl", "Tl", "Ni"], "frac_coords": [[0.000, 0.000, 0.000], [0.323, 0.323, 0.213], [0.377, 0.377, 0.625], [0.623, 0.623, 0.375], [0.677, 0.677, 0.787], [0.000, 0.000, 0.500]]}

***

Record 2
{"formula": "Ce3Ge3Os2", "functional": "GGA-PBE", "state": "optimized geometry", "magmom_total_mub_per_cell": 4.450, "de_polymorph_mev_per_atom": 0, "e_form_ev_per_atom": -0.526, "cell": [[7.687, 0.000, 0.000], [0.000, 14.848, 0.000], [0.000, 0.000, 6.013]], "species": ["Ce", "Ce", "Ce", "Ce", "Ce", "Ce", "Ce", "Ce", "Ce", "Ce", "Ce", "Ce", "Ge", "Ge", "Ge", "Ge", "Ge", "Ge", "Ge", "Ge", "Ge", "Ge", "Ge", "Ge", "Os", "Os", "Os", "Os", "Os", "Os", "Os", "Os"], "frac_coords": [[0.022, 0.105, 0.125], [0.022, 0.395, 0.125], [0.149, 0.250, 0.643], [0.351, 0.750, 0.143], [0.478, 0.605, 0.625], [0.478, 0.895, 0.625], [0.522, 0.105, 0.375], [0.522, 0.395, 0.375], [0.649, 0.250, 0.857], [0.851, 0.750, 0.357], [0.978, 0.605, 0.875], [0.978, 0.895, 0.875], [0.165, 0.046, 0.595], [0.165, 0.454, 0.595], [0.193, 0.750, 0.625], [0.307, 0.250, 0.125], [0.335, 0.546, 0.095], [0.335, 0.954, 0.095], [0.665, 0.046, 0.905], [0.665, 0.454, 0.905], [0.693, 0.750, 0.875], [0.807, 0.250, 0.375], [0.835, 0.546, 0.405], [0.835, 0.954, 0.405], [0.148, 0.604, 0.395], [0.148, 0.896, 0.395], [0.352, 0.104, 0.895], [0.352, 0.396, 0.895], [0.648, 0.604, 0.105], [0.648, 0.896, 0.105], [0.852, 0.104, 0.605], [0.852, 0.396, 0.605]]}

***

Record 3
{"formula": "CrNi12Pt6", "functional": "GGA-PBE", "state": "optimized geometry", "magmom_total_mub_per_cell": 7.363, "e_form_ev_per_atom": 0.048, "cell": [[4.544, 2.624, 3.460], [-4.544, 2.624, 3.460], [0.000, -5.247, 3.460]], "species": ["Cr", "Ni", "Ni", "Ni", "Ni", "Ni", "Ni", "Ni", "Ni", "Ni", "Ni", "Ni", "Ni", "Pt", "Pt", "Pt", "Pt", "Pt", "Pt"], "frac_coords": [[0.000, 0.000, 0.000], [0.055, 0.145, 0.368], [0.145, 0.368, 0.055], [0.215, 0.461, 0.541], [0.368, 0.055, 0.145], [0.459, 0.785, 0.539], [0.461, 0.541, 0.215], [0.539, 0.459, 0.785], [0.541, 0.215, 0.461], [0.632, 0.945, 0.855], [0.785, 0.539, 0.459], [0.855, 0.632, 0.945], [0.945, 0.855, 0.632], [0.121, 0.740, 0.285], [0.260, 0.715, 0.879], [0.285, 0.121, 0.740], [0.715, 0.879, 0.260], [0.740, 0.285, 0.121], [0.879, 0.260, 0.715]]}

***

Record 4
{"formula": "Sc5Al2Bi2", "functional": "GGA-PBE", "state": "optimized geometry", "magmom_total_mub_per_cell": 0.000, "e_form_ev_per_atom": -0.536, "cell": [[7.405, -3.802, 0.000], [7.405, 3.802, 0.000], [0.000, 0.000, 7.597]], "species": ["Sc", "Sc", "Sc", "Sc", "Sc", "Sc", "Sc", "Sc", "Sc", "Sc", "Al", "Al", "Al", "Al", "Bi", "Bi", "Bi", "Bi"], "frac_coords": [[0.000, 0.000, 0.000], [0.042, 0.705, 0.670], [0.205, 0.542, 0.170], [0.295, 0.958, 0.670], [0.458, 0.795, 0.170], [0.500, 0.500, 0.500], [0.542, 0.205, 0.830], [0.705, 0.042, 0.330], [0.795, 0.458, 0.830], [0.958, 0.295, 0.330], [0.127, 0.873, 0.374], [0.373, 0.627, 0.874], [0.627, 0.373, 0.126], [0.873, 0.127, 0.626], [0.208, 0.208, 0.000], [0.292, 0.292, 0.500], [0.708, 0.708, 0.500], [0.792, 0.792, 0.000]]}

***

Record 5
{"formula": "Er8Os2Au", "functional": "GGA-PBE", "state": "optimized geometry", "magmom_total_mub_per_cell": 0.000, "de_polymorph_mev_per_atom": 0, "e_form_ev_per_atom": -0.336, "cell": [[8.779, -2.382, 0.000], [8.779, 2.382, 0.000], [-2.156, 0.000, 6.649]], "species": ["Er", "Er", "Er", "Er", "Er", "Er", "Er", "Er", "Os", "Os", "Au"], "frac_coords": [[0.034, 0.034, 0.276], [0.205, 0.205, 0.816], [0.328, 0.328, 0.539], [0.401, 0.401, 0.029], [0.599, 0.599, 0.971], [0.672, 0.672, 0.461], [0.795, 0.795, 0.184], [0.966, 0.966, 0.724], [0.186, 0.186, 0.202], [0.814, 0.814, 0.798], [0.500, 0.500, 0.500]]}

***

Record 6
{"formula": "FeMo2Ir", "functional": "GGA-PBE", "state": "optimized geometry", "magmom_total_mub_per_cell": 1.165, "de_polymorph_mev_per_atom": 0, "e_form_ev_per_atom": -0.074, "cell": [[3.837, 0.000, 0.000], [0.000, 3.837, 0.000], [0.000, 0.000, 3.889]], "species": ["Fe", "Mo", "Mo", "Ir"], "frac_coords": [[0.000, 0.000, 0.000], [0.000, 0.500, 0.500], [0.500, 0.000, 0.500], [0.500, 0.500, 0.000]]}

***

Record 7
{"formula": "Cd2Hg3H2", "functional": "GGA-PBE", "state": "optimized geometry", "magmom_total_mub_per_cell": 0.000, "energy_ha_per_atom": -0.0417, "cell": [[3.414, 0.000, 0.000], [1.677, 6.235, 0.000], [0.029, 0.771, 7.617]], "species": ["Cd", "Cd", "Hg", "Hg", "Hg", "H", "H"], "frac_coords": [[0.064, 0.369, 0.332], [0.936, 0.631, 0.668], [0.376, 0.770, 0.319], [0.500, 0.500, 0.000], [0.624, 0.230, 0.681], [0.217, 0.070, 0.296], [0.783, 0.930, 0.704]]}

***

> What is the formula in the fourth record?

Sc5Al2Bi2